{"formula": "KCdSb2", "functional": "PBE-GGA", "state": "optimized geometry", "volume_a3_per_atom": 33.43, "e_form_raw_kj_per_mol_atoms": -10, "total_magnetization_mub_per_fu": 0.0, "lattice_angstrom": [[6.6884, 0.0036, -0.0058], [2.9647, 5.9954, 0.0058], [-4.2176, -3.9794, 3.3333]], "species": ["K", "Cd", "Sb", "Sb"], "fractional_positions": [[0.7661, 0.2661, 0.5000], [0.4685, 0.4685, 0.0000], [0.0436, 0.0436, 0.0000], [0.2218, 0.7218, 0.5000]]}